[1]
First-principles (PBE-GGA) data for a geometry-optimized Mn2CdSi structure, as listed in Alexandria via LeMat-Bulk.

Values from the calculation:
The value obtained for the formation energy from raw total energies is 0.610 eV per atom. Its crystal system is tetragonal. Its space group is I-42d (122). The calculation puts the energy above the most stable polymorph in this dataset at 602 meV/atom.

Cell lengths 3.8160, 3.8160, 9.0495 Å; angles 77.83, 77.83, 90.00 degrees
Fractional coordinates of all 8 atoms:
1 Si 0.5000 0.5000 0.0000
2 Si 0.2500 0.7500 0.5000
3 Mn 0.5106 0.1250 0.2500
4 Mn 0.2394 0.6250 0.2500
5 Mn 0.3750 0.4894 0.7500
6 Mn 0.8750 0.7606 0.7500
7 Cd 0.0000 0.0000 0.0000
8 Cd 0.7500 0.2500 0.5000


[2]
First-principles (PBE-GGA) data for a geometry-optimized SrBe3Bi structure, as listed in Alexandria via LeMat-Bulk.

Values from the calculation:
Its crystal system is cubic. Its space group is Pm-3m (221). Its energy of formation from the pure elements is 1.9138 eV per atom. The calculation puts the energy above the most stable polymorph in this dataset at 903 meV/atom.

Cell lengths 5.1773, 5.1773, 5.1773 Å; angles 90.00, 90.00, 90.00 degrees
Fractional coordinates of all 5 atoms:
1 Sr 0.0000 0.0000 0.0000
2 Bi 0.5000 0.5000 0.5000
3 Be 0.0000 0.5000 0.0000
4 Be 0.0000 0.0000 0.5000
5 Be 0.5000 0.0000 0.0000


[3]
First-principles (PBE-GGA) data for a geometry-optimized TbTh2CdC structure, as listed in Alexandria via LeMat-Bulk.

Values from the calculation:
Its crystal system is tetragonal. Its space group is P4/mmm (123). Its energy of formation from the pure elements is -0.2341 eV per atom.

Cell lengths 4.9962, 5.0800, 5.0800 Å; angles 90.00, 90.00, 90.00 degrees
Fractional coordinates of all 5 atoms:
1 Tb 0.5000 0.0000 0.0000
2 Th 0.0000 0.0000 0.5000
3 Th 0.0000 0.5000 0.0000
4 Cd 0.5000 0.5000 0.5000
5 C 0.0000 0.0000 0.0000


[4]
First-principles (PBE-GGA) data for a geometry-optimized AlTcMo2 structure, as listed in Alexandria via LeMat-Bulk.

Values from the calculation:
Its crystal system is tetragonal. Its space group is P4/mmm (123). Its energy of formation from the pure elements is -0.0128 eV per atom.

Cell lengths 2.8589, 2.8589, 7.4783 Å; angles 90.00, 90.00, 90.00 degrees
Fractional coordinates of all 4 atoms:
1 Mo 0.0000 0.0000 0.0047
2 Mo 0.0000 0.0000 0.4953
3 Tc 0.5000 0.5000 0.2500
4 Al 0.5000 0.5000 0.7500


[5]
First-principles (PBE-GGA) data for a geometry-optimized ScP structure, as listed in Alexandria via LeMat-Bulk.

Values from the calculation:
Its crystal system is cubic. Its space group is Pm-3n (223). Its energy of formation from the pure elements is -0.9211 eV per atom.

Cell lengths 7.2368, 7.2368, 7.2368 Å; angles 90.00, 90.00, 90.00 degrees
Fractional coordinates of all 12 atoms:
1 Sc 0.2500 0.5000 0.0000
2 Sc 0.7500 0.5000 0.0000
3 Sc 0.5000 0.0000 0.2500
4 Sc 0.5000 0.0000 0.7500
5 Sc 0.0000 0.2500 0.5000
6 Sc 0.0000 0.7500 0.5000
7 P 0.2500 0.0000 0.5000
8 P 0.7500 0.0000 0.5000
9 P 0.0000 0.5000 0.2500
10 P 0.0000 0.5000 0.7500
11 P 0.5000 0.2500 0.0000
12 P 0.5000 0.7500 0.0000


[6]
First-principles (PBE-GGA) data for a geometry-optimized BaCdAu3 structure, as listed in Alexandria via LeMat-Bulk.

Values from the calculation:
Its crystal system is orthorhombic. Its space group is Cmcm (63). Its energy of formation from the pure elements is -0.4650 eV per atom. The calculation puts the energy above the most stable polymorph in this dataset at 37 meV/atom.

Cell lengths 4.6718, 4.1198, 13.8351 Å; angles 98.56, 90.00, 90.00 degrees
Fractional coordinates of all 10 atoms:
1 Ba 0.2500 0.0807 0.1614
2 Ba 0.7500 0.9193 0.8386
3 Cd 0.2500 0.7925 0.5850
4 Cd 0.7500 0.2075 0.4150
5 Au 0.2500 0.3676 0.7351
6 Au 0.7500 0.6324 0.2649
7 Au 0.2500 0.4710 0.9421
8 Au 0.7500 0.5290 0.0579
9 Au 0.7500 0.3089 0.6177
10 Au 0.2500 0.6911 0.3823


[7]
First-principles (PBE-GGA) data for a geometry-optimized Tm3ScIr2 structure, as listed in Alexandria via LeMat-Bulk.

Values from the calculation:
Its crystal system is orthorhombic. Its space group is Ibam (72). Its energy of formation from the pure elements is -0.6959 eV per atom.

Cell lengths 6.5580, 6.9515, 8.1512 Å; angles 115.24, 113.72, 90.00 degrees
Fractional coordinates of all 12 atoms:
1 Tm 0.5000 0.2500 0.0000
2 Tm 0.5000 0.7500 0.0000
3 Tm 0.7699 0.0199 0.5397
4 Tm 0.2301 0.4801 0.4603
5 Tm 0.2301 0.9801 0.4603
6 Tm 0.7699 0.5199 0.5397
7 Sc 0.0000 0.5000 0.0000
8 Sc 0.0000 0.0000 0.0000
9 Ir 0.5812 0.3641 0.7283
10 Ir 0.8529 0.1359 0.2717
11 Ir 0.1471 0.8641 0.7283
12 Ir 0.4188 0.6359 0.2717


Number 1: VASP energy -5.559 eV per atom, V 15.7 Å³ per atom. Number 2: VASP energy -1.435 eV per atom, V 27.8 Å³ per atom. Number 3: VASP energy -6.156 eV per atom, V 25.8 Å³ per atom. Number 4: VASP energy -8.955 eV per atom, V 15.3 Å³ per atom. Number 5: VASP energy -6.792 eV per atom, V 31.6 Å³ per atom. Number 6: VASP energy -2.999 eV per atom, V 26.3 Å³ per atom. Number 7: VASP energy -6.941 eV per atom, V 25.1 Å³ per atom.